A plane-wave DFT calculation with PBE-GGA was carried out for crystalline LaFeCo2 at its relaxed geometry.

Results
Total magnetization (μB per formula unit): 5.0
Energy of formation from the pure elements (meV per atom): 237

a = 3.4807 Å, b = 3.7534 Å, c = 5.6406 Å
α = 90.00°, β = 107.89°, γ = 90.00°
Closest atoms and distances in Å follow each position.
Space group Pm (No. 6)
Symmetry-distinct sites (fractional):
La 0.0000 0.0000 0.0000 [1 per cell]  5 Co 2.67-2.89
Fe 0.2779 0.5000 0.5593 [1 per cell]  6 Co 2.40-2.58
Co 0.6253 0.5000 0.2519 [1 per cell]  2 Co 2.31, 2 Fe 2.40
Co 0.7480 0.0000 0.5029 [1 per cell]  2 Co 2.31, 4 Fe 2.57-2.58

***

A plane-wave DFT calculation with PBE-GGA was carried out for crystalline Re2SbO6 at its relaxed geometry.

Results
Total magnetization (μB per formula unit): 0.0
Formation energy (no corrections) (meV per atom): -1459

a = 16.2482 Å, b = 4.9859 Å, c = 5.5650 Å
α = 90.00°, β = 91.33°, γ = 90.00°
Closest atoms and distances in Å follow each position.
Space group C2/c (No. 15)
Symmetry-distinct sites (fractional):
Re 0.1814 0.2329 0.3910 [8 per cell]  6 O 1.94-2.05
Sb 0.0000 0.3043 0.7500 [4 per cell]  4 O 2.05-2.21
O 0.0693 0.4110 0.4260 [8 per cell]  1 Re 2.04, 2 Sb 2.05-2.21
O 0.1399 0.0237 0.1196 [8 per cell]  2 Re 1.94
O 0.2159 0.4809 0.6691 [8 per cell]  3 Re 1.98-2.05

***

A plane-wave DFT calculation with PBE-GGA was carried out for crystalline GdZn4Ga at its relaxed geometry.

Results
Total magnetization (μB per formula unit): 7.6
Energy of formation from the pure elements (meV per atom): -158

a = 7.6309 Å, b = 7.6309 Å, c = 7.6309 Å
α = 90.00°, β = 90.00°, γ = 90.00°
Closest atoms and distances in Å follow each position.
Space group F-43m (No. 216)
Symmetry-distinct sites (fractional):
Gd 0.0000 0.0000 0.0000 [4 per cell]  12 Zn 3.16, 4 Ga 3.30
Zn 0.1250 0.1250 0.3750 [16 per cell]  6 Zn 2.70
Ga 0.2500 0.2500 0.7500 [4 per cell]  12 Zn 3.16, 4 Gd 3.30

***

A plane-wave DFT calculation with PBE-GGA was carried out for crystalline PrTcHgO6 at its relaxed geometry.

Results
Total magnetization (μB per formula unit): 0.0
Formation energy (no corrections) (meV per atom): -1579

a = 5.2667 Å, b = 5.6097 Å, c = 6.0974 Å
α = 108.01°, β = 110.57°, γ = 103.07°
Closest atoms and distances in Å follow each position.
Space group P1 (No. 1)
Symmetry-distinct sites (fractional):
Pr 0.0000 0.0000 0.0000 [1 per cell]  6 O 2.31-2.57
Tc 0.6461 0.7987 0.3522 [1 per cell]  4 O 1.78-1.84
Hg 0.3657 0.3737 0.7010 [1 per cell]  2 O 2.02-2.03
O 0.3794 0.4702 0.2284 [1 per cell]  1 Tc 1.78
O 0.4329 0.9099 0.1209 [1 per cell]  1 Tc 1.84
O 0.6086 0.9883 0.6287 [1 per cell]  1 Tc 1.80
O 0.7521 0.6181 0.0219 [1 per cell]  1 Hg 2.03, 1 Tc 2.28
O 0.9695 0.7661 0.5510 [1 per cell]  1 Tc 1.80
O 0.9716 0.1447 0.3878 [1 per cell]  1 Hg 2.02, 1 Tc 2.17

***

A plane-wave DFT calculation with PBE-GGA was carried out for crystalline TbGe3Ru3 at its relaxed geometry.

Results
Distance to the lowest polymorph of the same formula (kcal/mol of atoms): 0.00
Total magnetization (μB per formula unit): 0.0
Energy of formation from the pure elements (meV per atom): -233

a = 6.7287 Å, b = 6.7287 Å, c = 20.3917 Å
α = 90.00°, β = 90.00°, γ = 120.00°
Closest atoms and distances in Å follow each position.
Space group R-3 (No. 148, hexagonal axes)
Symmetry-distinct sites (fractional):
Tb 0.0000 0.0000 0.1685 [6 per cell]  3 Ru 2.93, 3 Ge 2.99
Ge 0.0477 0.6168 0.2582 [18 per cell]  4 Ru 2.43-2.49
Ru 0.0256 0.7645 0.7134 [18 per cell]  4 Ge 2.43-2.49

***

A plane-wave DFT calculation with PBE-GGA was carried out for crystalline Na4Er3USe8 at its relaxed geometry.

Results
Total magnetization (μB per formula unit): 3.0
Formation energy (no corrections) (meV per atom): -1555

a = 8.2586 Å, b = 8.2586 Å, c = 21.0334 Å
α = 90.00°, β = 90.00°, γ = 120.00°
Closest atoms and distances in Å follow each position.
Space group R-3m (No. 166, hexagonal axes)
Symmetry-distinct sites (fractional):
Na 0.0000 0.0000 0.0000 [3 per cell]  6 Se 3.02
Na 0.0000 0.5000 0.0000 [9 per cell]  6 Se 3.05-3.06
Er 0.0000 0.5000 0.5000 [9 per cell]  6 Se 2.87
U 0.0000 0.0000 0.5000 [3 per cell]  6 Se 2.90
Se 0.0000 0.0000 0.2425 [6 per cell]  3 Er 2.87, 3 Na 3.05
Se 0.0043 0.5021 0.7566 [18 per cell]  2 Er 2.87, 1 U 2.90, 3 Na 3.02-3.06

***

A plane-wave DFT calculation with PBE-GGA was carried out for crystalline V6Cr5Co at its relaxed geometry.

Results
Total magnetization (μB per formula unit): 0.0
Energy of formation from the pure elements (meV per atom): -121

a = 13.0058 Å, b = 5.8057 Å, c = 4.1083 Å
α = 90.00°, β = 108.35°, γ = 90.00°
Closest atoms and distances in Å follow each position.
Space group C2/m (No. 12)
Symmetry-distinct sites (fractional):
V 0.0000 0.2467 0.0000 [4 per cell]  6 Cr 2.50-2.51, 2 Co 2.53
V 0.1677 0.2482 0.6677 [8 per cell]  7 Cr 2.51-2.52, 1 Co 2.53
Cr 0.0000 0.0000 0.5000 [2 per cell]  8 V 2.50-2.52
Cr 0.1647 0.5000 0.1646 [4 per cell]  8 V 2.51-2.52
Cr 0.1668 0.0000 0.1668 [4 per cell]  8 V 2.51
Co 0.0000 0.5000 0.5000 [2 per cell]  8 V 2.53

***

A plane-wave DFT calculation with PBE-GGA was carried out for crystalline Be4Co3 at its relaxed geometry.

Results
Distance to the lowest polymorph of the same formula (kcal/mol of atoms): 2.20
Total magnetization (μB per formula unit): 1.9
Energy of formation from the pure elements (meV per atom): -224

a = 2.6059 Å, b = 2.6059 Å, c = 18.0871 Å
α = 90.00°, β = 90.00°, γ = 90.00°
Closest atoms and distances in Å follow each position.
Space group I4/mmm (No. 139)
Symmetry-distinct sites (fractional):
Be 0.0000 0.0000 0.0667 [4 per cell]  4 Co 2.20, 5 Be 2.21-2.41
Be 0.0000 0.0000 0.3655 [4 per cell]  4 Be 2.21, 5 Co 2.27-2.43
Co 0.0000 0.0000 0.2075 [4 per cell]  4 Be 2.27, 4 Co 2.40
Co 0.0000 0.0000 0.5000 [2 per cell]  10 Be 2.20-2.43

***

A plane-wave DFT calculation with PBE-GGA was carried out for crystalline La3NdIn at its relaxed geometry.

Results
Distance to the lowest polymorph of the same formula (kcal/mol of atoms): 2.85
Total magnetization (μB per formula unit): 0.0
Energy of formation from the pure elements (meV per atom): -88

a = 5.9378 Å, b = 7.7225 Å, c = 8.3928 Å
α = 90.00°, β = 110.71°, γ = 90.00°
Closest atoms and distances in Å follow each position.
Space group P2_1/m (No. 11)
Symmetry-distinct sites (fractional):
La 0.1124 0.2500 0.2225 [2 per cell]  2 In 3.46, 3 Nd 3.62-3.86, 6 La 3.70-3.80
La 0.3199 0.0014 0.6407 [4 per cell]  2 In 3.39-3.45, 3 Nd 3.66-3.70, 4 La 3.70-3.71
Nd 0.1195 0.7500 0.2391 [2 per cell]  2 In 3.49-3.50, 9 La 3.62-3.86
In 0.4990 0.2500 0.9960 [2 per cell]  6 La 3.39-3.46, 2 Nd 3.49-3.50

***

A plane-wave DFT calculation with PBE-GGA was carried out for crystalline TaPbBr2 at its relaxed geometry.

Results
Distance to the lowest polymorph of the same formula (kcal/mol of atoms): 6.86
Total magnetization (μB per formula unit): 0.0
Formation energy (no corrections) (meV per atom): 116

a = 3.4058 Å, b = 3.4058 Å, c = 31.2804 Å
α = 90.00°, β = 90.00°, γ = 120.00°
Closest atoms and distances in Å follow each position.
Space group R-3m (No. 166, hexagonal axes)
Symmetry-distinct sites (fractional):
Ta 0.0000 0.0000 0.0000 [3 per cell]  2 Br 2.48
Pb 0.0000 0.0000 0.5000 [3 per cell]  6 Br 3.36, 6 Pb 3.41
Br 0.0000 0.0000 0.0794 [6 per cell]  1 Ta 2.48

***

A plane-wave DFT calculation with PBE-GGA was carried out for crystalline Na2BiPbBr8 at its relaxed geometry.

Results
Total magnetization (μB per formula unit): 0.0
Formation energy (no corrections) (meV per atom): -930

a = 6.8458 Å, b = 8.9121 Å, c = 7.0178 Å
α = 90.00°, β = 95.73°, γ = 90.00°
Closest atoms and distances in Å follow each position.
Space group P2/m (No. 10)
Symmetry-distinct sites (fractional):
Na 0.0000 0.2416 0.0000 [2 per cell]  4 Br 2.87-2.92
Bi 0.5000 0.0000 0.5000 [1 per cell]  6 Br 2.84-2.93
Pb 0.5000 0.5000 0.5000 [1 per cell]  6 Br 2.88-2.98
Br 0.2153 0.5000 0.1697 [2 per cell]  1 Pb 2.88, 2 Na 2.92
Br 0.2430 0.0000 0.1565 [2 per cell]  1 Bi 2.84, 2 Na 2.87
Br 0.2804 0.2462 0.6557 [4 per cell]  1 Bi 2.93, 1 Pb 2.98, 1 Na 3.23

***

A plane-wave DFT calculation with PBE-GGA was carried out for crystalline KPaBiSe4 at its relaxed geometry.

Results
Total magnetization (μB per formula unit): 0.6
Formation energy (no corrections) (meV per atom): -1011

a = 8.7591 Å, b = 9.9937 Å, c = 10.5592 Å
α = 90.00°, β = 90.00°, γ = 90.00°
Closest atoms and distances in Å follow each position.
Space group Imma (No. 74)
Symmetry-distinct sites (fractional):
K 0.0000 0.2500 0.1927 [4 per cell]  4 Se 3.18-3.21
Pa 0.2500 0.2500 0.7500 [4 per cell]  6 Se 2.79-2.87
Bi 0.0000 0.0000 0.5000 [4 per cell]  6 Se 2.97-3.08
Se 0.0000 0.0664 0.7746 [8 per cell]  2 Pa 2.87, 1 Bi 2.97, 1 K 3.18
Se 0.2052 0.2500 0.4885 [8 per cell]  1 Pa 2.79, 2 Bi 3.08

***

A plane-wave DFT calculation with PBE-GGA was carried out for crystalline Pr2Pu4Bi3N2 at its relaxed geometry.

Results
Total magnetization (μB per formula unit): 22.7
Formation energy (no corrections) (meV per atom): -824

a = 4.6902 Å, b = 4.6902 Å, c = 26.9926 Å
α = 90.00°, β = 90.00°, γ = 90.00°
Closest atoms and distances in Å follow each position.
Space group I4/mmm (No. 139)
Symmetry-distinct sites (fractional):
Pr 0.0000 0.0000 0.1943 [4 per cell]  1 N 2.45
Pu 0.0000 0.5000 0.0854 [8 per cell]  2 N 2.39
Bi 0.0000 0.0000 0.3211 [4 per cell]  5 Pr 3.34-3.42, 4 Pu 3.44
Bi 0.0000 0.0000 0.5000 [2 per cell]  8 Pu 3.29
N 0.0000 0.0000 0.1034 [4 per cell]  4 Pu 2.39, 1 Pr 2.45

***

A plane-wave DFT calculation with PBE-GGA was carried out for crystalline RePO at its relaxed geometry.

Results
Total magnetization (μB per formula unit): 0.0
Formation energy (no corrections) (meV per atom): -553

a = 5.1121 Å, b = 2.9825 Å, c = 5.8302 Å
α = 90.00°, β = 90.22°, γ = 90.00°
Closest atoms and distances in Å follow each position.
Space group P2/m (No. 10)
Symmetry-distinct sites (fractional):
Re 0.0003 0.0000 0.2349 [2 per cell]  2 O 1.95
P 0.2778 0.5000 0.0006 [2 per cell]  1 P 2.27, 4 Re 2.47
O 0.2334 0.0000 0.5010 [2 per cell]  2 Re 1.95

***

A plane-wave DFT calculation with PBE-GGA was carried out for crystalline Tb3Sm2DySb6 at its relaxed geometry.

Results
Total magnetization (μB per formula unit): 0.0
Formation energy (no corrections) (meV per atom): -1154

a = 19.2718 Å, b = 4.4227 Å, c = 8.8431 Å
α = 90.00°, β = 103.23°, γ = 90.00°
Closest atoms and distances in Å follow each position.
Space group C2/m (No. 12)
Symmetry-distinct sites (fractional):
Tb 0.0000 0.0000 0.0000 [2 per cell]  6 Sb 3.11-3.13
Tb 0.1674 0.5000 0.3336 [4 per cell]  6 Sb 3.11-3.13
Sm 0.1662 0.5000 0.8327 [4 per cell]  6 Sb 3.14-3.15
Dy 0.0000 0.0000 0.5000 [2 per cell]  6 Sb 3.12
Sb 0.0014 0.5000 0.2516 [4 per cell]  3 Tb 3.11-3.13, 2 Dy 3.12, 1 Sm 3.14
Sb 0.1658 0.0000 0.0857 [4 per cell]  3 Tb 3.11, 3 Sm 3.15
Sb 0.1660 0.0000 0.5797 [4 per cell]  3 Tb 3.11-3.13, 1 Dy 3.12, 2 Sm 3.15

***

A plane-wave DFT calculation with PBE-GGA was carried out for crystalline Pa3Co7P2 at its relaxed geometry.

Results
Total magnetization (μB per formula unit): 1.4
Energy of formation from the pure elements (meV per atom): -562

a = 3.7482 Å, b = 3.7482 Å, c = 25.1455 Å
α = 90.00°, β = 90.00°, γ = 90.00°
Closest atoms and distances in Å follow each position.
Space group I4/mmm (No. 139)
Symmetry-distinct sites (fractional):
Pa 0.0000 0.0000 0.0000 [2 per cell]  12 Co 2.65-2.72
Pa 0.0000 0.0000 0.1733 [4 per cell]  9 Co 2.83-3.04, 4 P 2.92
Co 0.0000 0.0000 0.2859 [4 per cell]  1 P 2.26
Co 0.0000 0.0000 0.5000 [2 per cell]  4 Pa 2.65, 8 Co 2.72
Co 0.0000 0.5000 0.0782 [8 per cell]  2 P 2.20
P 0.0000 0.0000 0.3758 [4 per cell]  5 Co 2.20-2.26

***

A plane-wave DFT calculation with PBE-GGA was carried out for crystalline SmGa4PtRh2 at its relaxed geometry.

Results
Total magnetization (μB per formula unit): 0.0
Energy of formation from the pure elements (meV per atom): -668

a = 4.2737 Å, b = 4.2737 Å, c = 26.2762 Å
α = 90.00°, β = 90.00°, γ = 120.00°
Closest atoms and distances in Å follow each position.
Space group R-3m (No. 166, hexagonal axes)
Symmetry-distinct sites (fractional):
Sm 0.0000 0.0000 0.0000 [3 per cell]  6 Ga 3.01
Ga 0.0000 0.0000 0.1286 [6 per cell]  4 Rh 2.57-2.71, 3 Pt 2.66
Ga 0.0000 0.0000 0.3990 [6 per cell]  3 Rh 2.64, 1 Pt 2.65
Pt 0.0000 0.0000 0.5000 [3 per cell]  8 Ga 2.65-2.66
Rh 0.0000 0.0000 0.2318 [6 per cell]  7 Ga 2.57-2.71

***

A plane-wave DFT calculation with PBE-GGA was carried out for crystalline CoHgP2 at its relaxed geometry.

Results
Total magnetization (μB per formula unit): 0.0
Energy of formation from the pure elements (meV per atom): -62

a = 6.0599 Å, b = 3.8334 Å, c = 6.4804 Å
α = 90.00°, β = 109.72°, γ = 90.00°
Closest atoms and distances in Å follow each position.
Space group Cm (No. 8)
Symmetry-distinct sites (fractional):
Co 0.0000 0.0000 0.0000 [2 per cell]  6 P 2.22-2.31
Hg 0.3179 0.5000 0.5576 [2 per cell]  1 P 2.50, 1 Co 2.70
P 0.2024 0.5000 0.1487 [2 per cell]  3 Co 2.30-2.31, 1 P 2.43, 1 Hg 2.50
P 0.3068 0.0000 0.8861 [2 per cell]  3 Co 2.22-2.24, 1 P 2.43

***

A plane-wave DFT calculation with PBE-GGA was carried out for crystalline Sr3HfS at its relaxed geometry.

Results
Distance to the lowest polymorph of the same formula (kcal/mol of atoms): 22.94
Total magnetization (μB per formula unit): 4.0
Formation energy (no corrections) (meV per atom): 843

a = 6.0650 Å, b = 6.0650 Å, c = 6.0650 Å
α = 90.00°, β = 90.00°, γ = 90.00°
Closest atoms and distances in Å follow each position.
Space group Pm-3m (No. 221)
Symmetry-distinct sites (fractional):
Sr 0.0000 0.0000 0.5000 [3 per cell]  2 Hf 3.03
Hf 0.0000 0.0000 0.0000 [1 per cell]  6 Sr 3.03
S 0.5000 0.5000 0.5000 [1 per cell]  12 Sr 4.29

***

A plane-wave DFT calculation with PBE-GGA was carried out for crystalline Be2NiIr at its relaxed geometry.

Results
Distance to the lowest polymorph of the same formula (kcal/mol of atoms): 13.32
Total magnetization (μB per formula unit): 0.0
Energy of formation from the pure elements (meV per atom): 1

a = 5.8630 Å, b = 5.8630 Å, c = 5.0879 Å
α = 90.00°, β = 90.00°, γ = 90.00°
Closest atoms and distances in Å follow each position.
Space group I-42d (No. 122)
Symmetry-distinct sites (fractional):
Be 0.2322 0.2500 0.1250 [8 per cell]  2 Ni 2.10, 2 Ir 2.24
Ni 0.0000 0.0000 0.0000 [4 per cell]  4 Be 2.10
Ir 0.0000 0.0000 0.5000 [4 per cell]  4 Be 2.24